Below is a geometry-optimized SmDy2Y5Th structure, with properties calculated at the GGA-PBE level.

Output
The calculation puts the total energy at -5.657 eV/atom. The density is 6.5 g cm⁻³. The formation energy comes out at 305 meV/atom. As for the density of states at the Fermi level: 1.33 states/eV/atom.

Cell lengths 8.802, 8.802, 9.792 Å; angles 116.71, 116.71, 90.00 degrees
Atoms (fractional coordinates):
Y  0.572  0.656  0.728
Y  0.000  0.000  0.000
Y  0.656  0.156  0.728
Y  0.844  0.928  0.272
Y  0.072  0.572  0.728
Y  0.344  0.844  0.272
Y  0.428  0.344  0.272
Y  0.928  0.428  0.272
Y  0.156  0.072  0.728
Y  0.500  0.500  0.000
Dy  0.115  0.385  0.000
Dy  0.385  0.885  0.000
Dy  0.615  0.115  0.000
Dy  0.885  0.615  0.000
Sm  0.750  0.250  0.500
Sm  0.250  0.750  0.500
Th  0.750  0.750  0.500
Th  0.250  0.250  0.500